(1)
KMnCl2 | PBE-GGA | relaxed

Output
Relative energy among the computed polymorphs ... 243 meV/atom
Volume ... 26.28 A^3/atom
Raw total energy ... -4.23 eV per atom

a = 5.6457 Å, b = 5.6461 Å, c = 3.5501 Å
α = 74.62°, β = 74.62°, γ = 88.14°
Closest atoms and distances in Å follow each position.
Fractional positions:
K (0.5000, 0.0000, 0.5000)  4 Cl 2.91
Mn (0.0000, 0.5000, 0.5000)  4 Cl 2.91
Cl (0.0000, 0.0000, 0.0000)  2 K 2.91, 2 Mn 2.91
Cl (0.5000, 0.5000, 0.0000)  2 Mn 2.91, 2 K 2.91

(2)
Cd3Pd2Au3 | PBE-GGA | relaxed

Output
Calculated formation energy ... -268.2 meV/atom
Relative energy among the computed polymorphs ... 0 meV/atom
Volume ... 18.06 A^3/atom
Raw total energy ... -3.14 eV per atom

a = 4.2448 Å, b = 4.2019 Å, c = 8.0986 Å
α = 90.00°, β = 90.00°, γ = 90.00°
Closest atoms and distances in Å follow each position.
Fractional positions:
Cd (0.5000, 0.0000, 0.5000)  4 Pd 2.92, 4 Au 2.92, 4 Cd 2.99
Cd (0.0000, 0.5000, 0.0000)  8 Au 2.93-2.99, 4 Pd 2.93
Cd (0.0000, 0.5000, 0.5000)  4 Pd 2.90, 4 Au 2.94, 4 Cd 2.99
Pd (0.0000, 0.0000, 0.7476)  6 Cd 2.90-2.93, 6 Au 2.95-2.99
Pd (0.0000, 0.0000, 0.2524)  6 Cd 2.90-2.93, 6 Au 2.95-2.99
Au (0.5000, 0.5000, 0.7509)  2 Au 2.91, 6 Cd 2.92-2.94, 4 Pd 2.99
Au (0.5000, 0.5000, 0.2491)  2 Au 2.91, 6 Cd 2.92-2.94, 4 Pd 2.99
Au (0.5000, 0.0000, 0.0000)  4 Au 2.91, 4 Pd 2.95, 4 Cd 2.99